Run w
Here is a relaxed structure of NbCoHgI from Alexandria. Energies are from PBE-GGA.

Results
density: 8.66 Mg/m³
V: 92 Å³/cell

Structure (POSCAR):
```
NbCoHgI
1.0
3.322 0.000 0.000
0.000 3.569 0.000
-0.846 0.000 7.747
Nb Co Hg I
1 1 1 1
direct
0.000 0.000 0.000
0.573 0.500 0.111
0.426 0.500 0.757
0.515 0.000 0.338
```

---

Run x
Here is a relaxed structure of NbCoHgI from Alexandria. Energies are from PBE-GGA.

Results
density: 8.76 Mg/m³
V: 182 Å³/cell

Structure (POSCAR):
```
NbCoHgI
1.0
6.160 0.000 0.000
0.000 3.562 0.000
-2.036 0.000 8.282
Nb Co Hg I
2 2 2 2
direct
0.000 0.000 0.000
0.500 0.500 0.000
0.218 0.500 0.156
0.718 0.000 0.156
0.125 0.000 0.380
0.625 0.500 0.380
0.082 0.500 0.745
0.582 0.000 0.745
```

---

Verdict on stability: run x comes out on top.